## P
Crystalline HgMo2Br at its relaxed geometry, computed with GGA-PBE.

Cell: 2.9602 2.9602 8.1431 Å, 90.00 90.00 90.00°
Last column: nearest neighbours and their distance in Å.
Fractional positions:
1 Hg 0.0000 0.0000 0.0000  4 Hg 2.96, 8 Mo 2.98
2 Mo 0.5000 0.5000 0.2605  4 Br 2.86, 4 Mo 2.96, 4 Hg 2.98
3 Mo 0.5000 0.5000 0.7395  4 Br 2.86, 4 Mo 2.96, 4 Hg 2.98
4 Br 0.0000 0.0000 0.5000  8 Mo 2.86, 4 Br 2.96

Results
size of the total moment: 0.000 μB/atom
space group: No. 123

## Q
Crystalline HgMo2Br at its relaxed geometry, computed with GGA-PBE.

Cell: 2.9809 5.2707 9.5038 Å, 90.00 90.00 90.00°
Last column: nearest neighbours and their distance in Å.
Fractional positions:
1 Hg 0.0000 0.0000 0.0000  4 Mo 2.90, 6 Hg 2.98-3.03
2 Hg 0.5000 0.5000 0.0000  4 Mo 2.90, 6 Hg 2.98-3.03
3 Mo 0.0000 0.5000 0.2617  2 Br 2.71, 2 Hg 2.90, 6 Mo 2.98-3.03
4 Mo 0.0000 0.5000 0.7383  2 Br 2.71, 2 Hg 2.90, 6 Mo 2.98-3.03
5 Mo 0.5000 0.0000 0.2617  2 Br 2.71, 2 Hg 2.90, 6 Mo 2.98-3.03
6 Mo 0.5000 0.0000 0.7383  2 Br 2.71, 2 Hg 2.90, 6 Mo 2.98-3.03
7 Br 0.0000 0.0000 0.5000  4 Mo 2.71, 6 Br 2.98-3.03
8 Br 0.5000 0.5000 0.5000  4 Mo 2.71, 6 Br 2.98-3.03

Results
size of the total moment: 0.000 μB/atom
space group: No. 65

Of the structures shown above, Q is the most stable.